{
  "formula": "Pm5Nd5In2",
  "functional": "PBE",
  "state": "relaxed",
  "ef_mev_per_atom": -71,
  "m_tot_mub_per_fu": 0.00,
  "final_energy_ev_per_cell": -53.92,
  "crystal_system": "monoclinic",
  "lattice": [[-3.970, 3.489, 1.021], [-1.333, -4.377, -4.415], [1.797, -2.827, 16.644]],
  "species": ["Nd", "Nd", "Nd", "Nd", "Nd", "Pm", "Pm", "Pm", "Pm", "Pm", "In", "In"],
  "frac_coords": [[0.875, 0.750, 0.575], [0.643, 0.285, 0.766], [0.357, 0.715, 0.234], [0.125, 0.250, 0.425], [0.000, 0.000, 0.000], [0.719, 0.439, 0.308], [0.281, 0.561, 0.692], [0.648, 0.296, 0.988], [0.500, 0.000, 0.500], [0.352, 0.704, 0.012], [0.008, 0.016, 0.194], [0.992, 0.984, 0.806]]
}